[1]
Ca2Nd3Y3 after structural relaxation, computed with PBE.

Cell lengths 3.675, 6.330, 14.337 Å; angles 120.77, 97.36, 90.00 degrees
Atoms (fractional coordinates):
Nd1 0.119 0.110 0.238
Y1 0.380 0.387 0.760
Nd2 0.000 0.500 0.000
Ca1 0.250 0.750 0.500
Ca2 0.750 0.250 0.500
Y2 0.620 0.613 0.240
Nd3 0.881 0.890 0.762
Y3 0.500 0.000 0.000

Results
- Space group: No. 12
- Formation energy from the elements: 49 meV per atom


[2]
ZnSiNi2 after structural relaxation, computed with PBE.

Cell lengths 2.779, 2.771, 6.084 Å; angles 90.00, 90.00, 90.00 degrees
Atoms (fractional coordinates):
Si1 0.500 0.500 0.250
Ni1 0.000 0.000 0.033
Zn1 0.500 0.500 0.750
Ni2 0.000 0.000 0.467

Results
- Space group: No. 123
- Formation energy (no corrections): -0.39 eV/atom


[3]
CdSi2W after structural relaxation, computed with PBE.

Cell lengths 4.640, 2.907, 5.052 Å; angles 76.95, 90.00, 90.00 degrees
Atoms (fractional coordinates):
Si1 0.500 0.435 0.254
Cd1 0.500 0.736 0.732
Si2 0.000 0.016 0.033
W1 0.000 0.313 0.481

Results
- Space group: No. 6
- Formation energy (no corrections): 0.42 eV/atom


| no. | volume (Å³ per cell) |
| --- | --- |
| 1 | 283.4 |
| 2 | 46.8 |
| 3 | 66.4 |